# 1
Crystalline PmRhI2 at its relaxed geometry, computed with PBE-GGA.

a b c (Å): 3.967 3.967 9.542
angles (deg): 78.00 78.00 60.00
Atoms (fractional coordinates):
1 I 0.112 0.112 0.665
2 I 0.888 0.888 0.335
3 Rh 0.500 0.500 0.500
4 Pm 0.000 0.000 0.000

Computed properties:
Total energy   -15.22 eV for the cell shown
V   126.2 Å³/cell
SG   R-3m, No. 166
ΔE_f (raw)   -0.005 eV/atom


# 2
Crystalline Pm4RhSI2 at its relaxed geometry, computed with PBE-GGA.

a b c (Å): 4.071 7.445 8.140
angles (deg): 106.72 90.00 90.00
Atoms (fractional coordinates):
1 I 0.500 0.000 0.500
2 I 0.000 0.500 0.500
3 S 0.000 0.000 0.000
4 Pm 0.500 0.773 0.810
5 Pm 0.000 0.714 0.188
6 Pm 0.000 0.286 0.812
7 Pm 0.500 0.227 0.190
8 Rh 0.500 0.500 0.000

Computed properties:
Total energy   -42.91 eV for the cell shown
V   236.3 Å³/cell
SG   P2/m, No. 10
ΔE_f (raw)   -1.165 eV/atom


# 3
Crystalline Pm4RhSe2I at its relaxed geometry, computed with PBE-GGA.

a b c (Å): 4.131 7.457 7.597
angles (deg): 71.89 90.00 90.00
Atoms (fractional coordinates):
1 Se 0.500 0.000 0.500
2 Se 0.000 0.000 0.000
3 Rh 0.000 0.500 0.500
4 Pm 0.000 0.228 0.280
5 Pm 0.500 0.269 0.714
6 Pm 0.500 0.731 0.286
7 Pm 0.000 0.772 0.720
8 I 0.500 0.500 0.000

Computed properties:
Total energy   -44.97 eV for the cell shown
V   222.4 Å³/cell
SG   P2/m, No. 10
ΔE_f (raw)   -1.262 eV/atom